YTaNi | PBE | relaxed

```
YTaNi
1.0
3.1988 0.0000 0.0000
0.0000 3.1988 0.0000
0.0000 0.0000 11.3890
Y Ta Ni
2 2 2
Cartesian
0.0000 0.0000 0.0000
1.5994 1.5994 5.6945
0.0000 0.0000 7.9646
1.5994 1.5994 2.2701
0.0000 0.0000 3.4697
1.5994 1.5994 9.1642
```

## Properties
**Symmetry**: No. 107
**M_tot**: 0.00 μB per formula unit
**Energy of formation**: -0.04 eV per atom
**Offset from the most stable computed form**: 0.0 meV per atom